[1]
# GGA-PBE ZnHgSe2, relaxed
# energy relative to the elements, uncorrected: 0.116 eV per atom
data_ZnHgSe2
_chemical_formula_sum 'Zn2 Hg2 Se4'
_space_group_name_H-M_alt 'P 1'
_space_group_IT_number 1
_cell_length_a 3.590
_cell_length_b 6.926
_cell_length_c 8.004
_cell_angle_alpha 90.00
_cell_angle_beta 90.00
_cell_angle_gamma 90.00
loop_
_space_group_symop_operation_xyz
'x,y,z'
loop_
_atom_site_label
_atom_site_type_symbol
_atom_site_fract_x
_atom_site_fract_y
_atom_site_fract_z
Zn1 Zn 0.000 0.000 0.000
Zn2 Zn 0.500 0.500 0.500
Hg1 Hg 0.000 0.500 0.242
Hg2 Hg 0.500 0.000 0.742
Se1 Se 0.000 0.000 0.472
Se2 Se 0.000 0.500 0.718
Se3 Se 0.500 0.000 0.218
Se4 Se 0.500 0.500 0.972

***

[2]
# GGA-PBE ZnHgSe2, relaxed
# energy relative to the elements, uncorrected: -0.087 eV per atom
data_ZnHgSe2
_chemical_formula_sum 'Zn4 Hg4 Se8'
_space_group_name_H-M_alt 'P 1'
_space_group_IT_number 1
_cell_length_a 7.320
_cell_length_b 7.320
_cell_length_c 6.643
_cell_angle_alpha 90.00
_cell_angle_beta 90.00
_cell_angle_gamma 90.00
loop_
_space_group_symop_operation_xyz
'x,y,z'
loop_
_atom_site_label
_atom_site_type_symbol
_atom_site_fract_x
_atom_site_fract_y
_atom_site_fract_z
Zn1 Zn 0.000 0.500 0.250
Zn2 Zn 0.000 0.500 0.750
Zn3 Zn 0.500 0.000 0.250
Zn4 Zn 0.500 0.000 0.750
Hg1 Hg 0.000 0.000 0.250
Hg2 Hg 0.000 0.000 0.750
Hg3 Hg 0.500 0.500 0.250
Hg4 Hg 0.500 0.500 0.750
Se1 Se 0.182 0.318 0.000
Se2 Se 0.182 0.682 0.500
Se3 Se 0.318 0.182 0.500
Se4 Se 0.318 0.818 0.000
Se5 Se 0.682 0.182 0.000
Se6 Se 0.682 0.818 0.500
Se7 Se 0.818 0.318 0.500
Se8 Se 0.818 0.682 0.000

***

Number 1: calculated total energy -2.02 eV per atom. Number 2: calculated total energy -2.22 eV per atom.